[1]
DFT (PBE) results for a relaxed K12Li3Au5 crystal.

For the formation energy, the calculation gives 0.0043 eV/atom. For the final energy, the calculation gives -1.76 eV per atom. The value obtained for the theoretical density is 2.2 g/cm³. As for the volume: 54.83 A^3/atom.

The space group is Ia-3d (No. 230) and the conventional cell measures 20.625, 20.625 and 20.625 Å, with angles of 90.00, 90.00 and 90.00 degrees. Symmetry generates all atoms from K at (0.027, 0.063, 0.648), Li at (0.000, 0.250, 0.125), Au at (0.000, 0.000, 0.000) and Au at (0.000, 0.250, 0.375).



[2]
DFT (PBE) results for a relaxed K2LiAu crystal.

For the formation energy, the calculation gives -0.2075 eV/atom. For the final energy, the calculation gives -2.05 eV per atom. The value obtained for the theoretical density is 3.0 g/cm³. As for the volume: 39.05 A^3/atom. The excess energy over the best structure of this formula in the dataset is 0.0000 eV per atom.

The space group is Cm (No. 8) and the conventional cell measures 7.998, 4.611 and 8.855 Å, with angles of 90.00, 106.95 and 90.00 degrees. Symmetry generates all atoms from K at (0.000, 0.000, 0.000), K at (0.179, 0.000, 0.551), Li at (0.423, 0.000, 0.275) and Au at (0.256, 0.500, 0.276).



[3]
DFT (PBE) results for a relaxed KLiAu2 crystal.

For the formation energy, the calculation gives -0.2569 eV/atom. For the final energy, the calculation gives -2.65 eV per atom. The value obtained for the theoretical density is 7.7 g/cm³. As for the volume: 23.75 A^3/atom. The excess energy over the best structure of this formula in the dataset is 0.1264 eV per atom.

The space group is Pm (No. 6) and the conventional cell measures 3.051, 4.704 and 6.621 Å, with angles of 90.00, 90.08 and 90.00 degrees. Symmetry generates all atoms from K at (0.000, 0.000, 0.000), Li at (0.998, 0.500, 0.418), Au at (0.499, 0.000, 0.468) and Au at (0.499, 0.500, 0.740).



[4]
DFT (PBE) results for a relaxed K3LiAu2 crystal.

For the formation energy, the calculation gives -0.2399 eV/atom. For the final energy, the calculation gives -2.20 eV per atom. The value obtained for the theoretical density is 4.1 g/cm³. As for the volume: 34.87 A^3/atom.

The space group is Pnma (No. 62) and the conventional cell measures 13.007, 4.685 and 13.734 Å, with angles of 90.00, 90.00 and 90.00 degrees. Symmetry generates all atoms from K at (0.064, 0.250, 0.118), K at (0.123, 0.750, 0.560), K at (0.184, 0.250, 0.797), Li at (0.133, 0.250, 0.366), Au at (0.052, 0.750, 0.320) and Au at (0.201, 0.750, 0.977).



[5]
DFT (PBE) results for a relaxed K2Li2Au3 crystal.

For the formation energy, the calculation gives -0.3210 eV/atom. For the final energy, the calculation gives -2.59 eV per atom. The value obtained for the theoretical density is 6.5 g/cm³. As for the volume: 24.94 A^3/atom.

The space group is C2/m (No. 12) and the conventional cell measures 11.896, 4.555 and 7.772 Å, with angles of 90.00, 124.01 and 90.00 degrees. Symmetry generates all atoms from K at (0.165, 0.000, 0.283), Li at (0.141, 0.000, 0.787), Au at (0.000, 0.500, 0.500) and Au at (0.084, 0.500, 0.918).



[6]
DFT (PBE) results for a relaxed KLiAu3 crystal.

For the formation energy, the calculation gives 0.7552 eV/atom. For the final energy, the calculation gives -1.81 eV per atom. The value obtained for the theoretical density is 5.3 g/cm³. As for the volume: 39.58 A^3/atom. The excess energy over the best structure of this formula in the dataset is 0.8180 eV per atom.

The space group is Pm-3m (No. 221) and the conventional cell measures 5.828, 5.828 and 5.828 Å, with angles of 90.00, 90.00 and 90.00 degrees. Symmetry generates all atoms from K at (0.000, 0.000, 0.000), Li at (0.500, 0.500, 0.500) and Au at (0.000, 0.000, 0.500).



[7]
DFT (PBE) results for a relaxed KLiAu2 crystal.

For the formation energy, the calculation gives -0.3502 eV/atom. For the final energy, the calculation gives -2.74 eV per atom. The value obtained for the theoretical density is 6.7 g/cm³. As for the volume: 27.29 A^3/atom. The excess energy over the best structure of this formula in the dataset is 0.0330 eV per atom.

The space group is Cm (No. 8) and the conventional cell measures 8.183, 4.683 and 6.248 Å, with angles of 90.00, 114.23 and 90.00 degrees. Symmetry generates all atoms from K at (0.000, 0.000, 0.000), Li at (0.319, 0.500, 0.454), Au at (0.194, 0.000, 0.580) and Au at (0.498, 0.000, 0.492).



[8]
DFT (PBE) results for a relaxed K3LiAu3 crystal.

For the formation energy, the calculation gives -0.3216 eV/atom. For the final energy, the calculation gives -2.47 eV per atom. The value obtained for the theoretical density is 5.6 g/cm³. As for the volume: 30.41 A^3/atom.

The space group is C2/m (No. 12) and the conventional cell measures 11.821, 4.807 and 15.969 Å, with angles of 90.00, 110.25 and 90.00 degrees. Symmetry generates all atoms from K at (0.031, 0.000, 0.271), K at (0.145, 0.500, 0.124), K at (0.176, 0.000, 0.577), Li at (0.183, 0.500, 0.920), Au at (0.029, 0.500, 0.420), Au at (0.092, 0.000, 0.959) and Au at (0.175, 0.500, 0.746).



[9]
DFT (PBE) results for a relaxed K2Li2Au crystal.

For the formation energy, the calculation gives -0.0776 eV/atom. For the final energy, the calculation gives -1.94 eV per atom. The value obtained for the theoretical density is 3.1 g/cm³. As for the volume: 30.86 A^3/atom. The excess energy over the best structure of this formula in the dataset is 0.0000 eV per atom.

The space group is P4/mbm (No. 127) and the conventional cell measures 7.247, 7.247 and 5.876 Å, with angles of 90.00, 90.00 and 90.00 degrees. Symmetry generates all atoms from K at (0.194, 0.306, 0.000), Li at (0.157, 0.657, 0.500) and Au at (0.000, 0.000, 0.500).



[10]
DFT (PBE) results for a relaxed K2LiAu2 crystal.

For the formation energy, the calculation gives -0.3086 eV/atom. For the final energy, the calculation gives -2.44 eV per atom. The value obtained for the theoretical density is 5.3 g/cm³. As for the volume: 29.75 A^3/atom. The excess energy over the best structure of this formula in the dataset is 0.0099 eV per atom.

The space group is C2/c (No. 15) and the conventional cell measures 11.427, 6.733 and 7.865 Å, with angles of 90.00, 100.49 and 90.00 degrees. Symmetry generates all atoms from K at (0.145, 0.136, 0.129), Li at (0.000, 0.447, 0.750) and Au at (0.137, 0.351, 0.514).



[11]
DFT (PBE) results for a relaxed K2LiAu crystal.

For the formation energy, the calculation gives -0.0716 eV/atom. For the final energy, the calculation gives -1.92 eV per atom. The value obtained for the theoretical density is 3.1 g/cm³. As for the volume: 37.53 A^3/atom. The excess energy over the best structure of this formula in the dataset is 0.1359 eV per atom.

The space group is P4/mmm (No. 123) and the conventional cell measures 4.017, 4.017 and 9.303 Å, with angles of 90.00, 90.00 and 90.00 degrees. Symmetry generates all atoms from K at (0.000, 0.000, 0.207), Li at (0.500, 0.500, 0.500) and Au at (0.500, 0.500, 0.000).



[12]
DFT (PBE) results for a relaxed K2LiAu2 crystal.

For the formation energy, the calculation gives -0.2329 eV/atom. For the final energy, the calculation gives -2.37 eV per atom. The value obtained for the theoretical density is 5.5 g/cm³. As for the volume: 29.12 A^3/atom. The excess energy over the best structure of this formula in the dataset is 0.0856 eV per atom.

The space group is P4/mbm (No. 127) and the conventional cell measures 7.485, 7.485 and 5.199 Å, with angles of 90.00, 90.00 and 90.00 degrees. Symmetry generates all atoms from K at (0.167, 0.333, 0.000), Li at (0.000, 0.000, 0.500) and Au at (0.137, 0.637, 0.500).